Record 1
! KZnAg3 PBE optimized geometry; values from VASP
! **Polymorph energy (0 for the lowest one)**: 59 meV per atom
! **Mass density**: 5872 kg/m³
&SYSTEM
  ibrav = 0, nat = 20, ntyp = 3
/
ATOMIC_SPECIES
K 39.10 K.upf
Zn 65.41 Zn.upf
Ag 107.87 Ag.upf
ATOMIC_POSITIONS angstrom
K 0.000 3.924 3.026
K 3.399 1.962 9.077
K 0.000 0.000 6.051
K 0.000 0.000 0.000
Zn 3.399 1.962 1.733
Zn 0.000 3.924 7.785
Zn 0.000 3.924 10.369
Zn 3.399 1.962 4.318
Ag 0.000 1.613 9.077
Ag 1.397 0.807 3.026
Ag 5.400 0.807 3.026
Ag -2.001 5.080 9.077
Ag 2.001 5.080 9.077
Ag 3.399 4.273 3.026
Ag 1.699 2.943 6.051
Ag 3.399 0.000 0.000
Ag 1.699 2.943 0.000
Ag 3.399 0.000 6.051
Ag -1.699 2.943 6.051
Ag -1.699 2.943 0.000
CELL_PARAMETERS angstrom
6.797 0.000 0.000
-3.399 5.887 0.000
0.000 0.000 12.102

Record 2
! K2ZnAg PBE optimized geometry; values from VASP
! **VASP energy**: -0.049 hartree per atom
! **Mass density**: 2779 kg/m³
&SYSTEM
  ibrav = 0, nat = 8, ntyp = 3
/
ATOMIC_SPECIES
Zn 65.41 Zn.upf
K 39.10 K.upf
Ag 107.87 Ag.upf
ATOMIC_POSITIONS angstrom
Zn 4.644 4.644 0.000
Zn 4.644 9.287 1.742
K 7.041 2.322 0.871
K 2.247 6.965 0.871
K 6.965 6.890 2.613
K 11.609 11.684 2.613
Ag 0.000 0.000 0.000
Ag 9.287 4.644 1.742
CELL_PARAMETERS angstrom
9.287 0.000 0.000
0.000 9.287 0.000
4.644 4.644 3.484

Record 3
! KZn2Ag PBE optimized geometry; values from VASP
! **Polymorph energy (0 for the lowest one)**: 358 meV per atom
! **Mass density**: 5016 kg/m³
&SYSTEM
  ibrav = 0, nat = 4, ntyp = 3
/
ATOMIC_SPECIES
Ag 107.87 Ag.upf
K 39.10 K.upf
Zn 65.41 Zn.upf
ATOMIC_POSITIONS angstrom
Ag 2.999 -0.029 1.446
K -1.378 2.664 1.446
Zn 0.000 0.000 0.000
Zn 1.621 2.635 0.000
CELL_PARAMETERS angstrom
5.999 -0.058 0.000
-2.756 5.328 0.000
0.000 0.000 2.892

Record 4
! KZn3Ag PBE optimized geometry; values from VASP
! **Polymorph energy (0 for the lowest one)**: 836 meV per atom
! **Mass density**: 2389 kg/m³
&SYSTEM
  ibrav = 0, nat = 5, ntyp = 3
/
ATOMIC_SPECIES
Zn 65.41 Zn.upf
K 39.10 K.upf
Ag 107.87 Ag.upf
ATOMIC_POSITIONS angstrom
Zn 0.000 3.101 0.000
Zn 0.000 0.000 3.101
Zn 3.101 0.000 0.000
K 0.000 0.000 0.000
Ag 3.101 3.101 3.101
CELL_PARAMETERS angstrom
6.202 0.000 0.000
0.000 6.202 0.000
0.000 0.000 6.202

Record 5
! KZn12Ag4 PBE optimized geometry; values from VASP
! **VASP energy**: -0.052 hartree per atom
! **Mass density**: 5707 kg/m³
&SYSTEM
  ibrav = 0, nat = 17, ntyp = 3
/
ATOMIC_SPECIES
K 39.10 K.upf
Zn 65.41 Zn.upf
Ag 107.87 Ag.upf
ATOMIC_POSITIONS angstrom
K 0.000 0.000 0.000
Zn 5.156 1.869 1.336
Zn 1.091 3.190 0.951
Zn 4.109 -1.259 4.082
Zn 0.044 -1.585 5.418
Zn -1.509 4.936 2.287
Zn 1.509 0.487 5.418
Zn 2.644 -0.223 2.287
Zn -0.044 3.899 4.082
Zn 2.556 5.262 0.951
Zn 3.691 2.906 3.131
Zn -1.091 0.771 3.238
Zn -2.556 1.808 5.032
Ag -1.300 3.677 0.000
Ag 3.900 0.000 0.000
Ag 1.300 1.838 3.184
Ag -1.300 -1.838 3.184
CELL_PARAMETERS angstrom
7.800 0.000 0.000
-2.600 7.354 0.000
-2.600 -3.677 6.369

Record 6
! KZnAg3 PBE optimized geometry; values from VASP
! **Polymorph energy (0 for the lowest one)**: 128 meV per atom
! **Mass density**: 5445 kg/m³
&SYSTEM
  ibrav = 0, nat = 5, ntyp = 3
/
ATOMIC_SPECIES
Zn 65.41 Zn.upf
K 39.10 K.upf
Ag 107.87 Ag.upf
ATOMIC_POSITIONS angstrom
Zn 0.000 0.000 0.000
K 2.536 2.536 2.536
Ag 0.000 2.536 0.000
Ag 0.000 0.000 2.536
Ag 2.536 0.000 0.000
CELL_PARAMETERS angstrom
5.073 0.000 0.000
0.000 5.073 0.000
0.000 0.000 5.073

Record 7
! K3Zn2Ag3 PBE optimized geometry; values from VASP
! **VASP energy**: -0.063 hartree per atom
! **Mass density**: 4298 kg/m³
&SYSTEM
  ibrav = 0, nat = 16, ntyp = 3
/
ATOMIC_SPECIES
K 39.10 K.upf
Zn 65.41 Zn.upf
Ag 107.87 Ag.upf
ATOMIC_POSITIONS angstrom
K -2.338 -1.189 -1.824
K -7.696 4.598 0.925
K -6.253 4.132 -2.190
K -11.611 9.918 0.559
K -6.409 0.178 1.795
K -7.540 8.551 -3.060
Zn -9.236 5.848 -1.813
Zn -3.246 0.887 0.685
Zn -10.703 7.842 -1.950
Zn -4.713 2.882 0.548
Ag -5.550 -2.278 -0.595
Ag -5.616 7.225 -0.410
Ag -8.333 1.504 -0.855
Ag -8.399 11.007 -0.671
Ag -5.492 0.631 -1.427
Ag -8.457 8.099 0.162
CELL_PARAMETERS angstrom
-1.403 -1.367 -4.874
-3.467 -2.244 4.458
-9.079 12.341 -0.849

Record 8
! KZn2Ag PBE optimized geometry; values from VASP
! **Polymorph energy (0 for the lowest one)**: 144 meV per atom
! **Mass density**: 4730 kg/m³
&SYSTEM
  ibrav = 0, nat = 4, ntyp = 3
/
ATOMIC_SPECIES
Ag 107.87 Ag.upf
K 39.10 K.upf
Zn 65.41 Zn.upf
ATOMIC_POSITIONS angstrom
Ag 1.387 -2.303 2.364
K 2.020 -5.929 3.142
Zn 0.453 -0.452 0.430
Zn -0.204 -3.004 0.225
CELL_PARAMETERS angstrom
-0.510 -3.155 -2.775
3.061 -0.831 0.383
-0.284 -4.857 5.575

Record 9
! K2ZnAg PBE optimized geometry; values from VASP
! **VASP energy**: -0.049 hartree per atom
! **Mass density**: 2475 kg/m³
&SYSTEM
  ibrav = 0, nat = 4, ntyp = 3
/
ATOMIC_SPECIES
Ag 107.87 Ag.upf
K 39.10 K.upf
Zn 65.41 Zn.upf
ATOMIC_POSITIONS angstrom
Ag 19.485 4.902 2.949
K 0.128 0.032 0.019
K 12.861 3.235 1.947
Zn 6.495 1.634 0.983
CELL_PARAMETERS angstrom
9.415 -0.027 -0.016
8.282 4.479 -0.016
8.282 2.083 3.965

Record 10
! K2ZnAg PBE optimized geometry; values from VASP
! **VASP energy**: -0.057 hartree per atom
! **Mass density**: 2833 kg/m³
&SYSTEM
  ibrav = 0, nat = 4, ntyp = 3
/
ATOMIC_SPECIES
Zn 65.41 Zn.upf
K 39.10 K.upf
Ag 107.87 Ag.upf
ATOMIC_POSITIONS angstrom
Zn 0.000 4.762 3.235
K 0.000 7.302 5.679
K 2.346 2.221 2.051
Ag 2.346 4.762 4.472
CELL_PARAMETERS angstrom
4.692 0.000 0.000
0.000 5.089 0.001
0.000 2.530 6.174

Record 11
! K2Zn5Ag5 PBE optimized geometry; values from VASP
! **VASP energy**: -0.070 hartree per atom
! **Mass density**: 6182 kg/m³
&SYSTEM
  ibrav = 0, nat = 12, ntyp = 3
/
ATOMIC_SPECIES
K 39.10 K.upf
Zn 65.41 Zn.upf
Ag 107.87 Ag.upf
ATOMIC_POSITIONS angstrom
K 0.000 2.818 0.000
K 0.000 0.000 5.045
Zn 2.231 2.818 5.045
Zn 2.231 4.219 2.535
Zn 2.231 1.417 7.555
Zn 2.231 1.417 2.535
Zn 2.231 4.219 7.555
Ag 0.000 2.818 3.349
Ag 0.000 0.000 8.236
Ag 0.000 0.000 1.854
Ag 0.000 2.818 6.740
Ag 2.231 0.000 0.000
CELL_PARAMETERS angstrom
4.462 0.000 0.000
0.000 5.636 0.000
0.000 0.000 10.090

Record 12
! K3ZnAg4 PBE optimized geometry; values from VASP
! **VASP energy**: -0.071 hartree per atom
! **Mass density**: 4038 kg/m³
&SYSTEM
  ibrav = 0, nat = 16, ntyp = 3
/
ATOMIC_SPECIES
K 39.10 K.upf
Zn 65.41 Zn.upf
Ag 107.87 Ag.upf
ATOMIC_POSITIONS angstrom
K 3.384 0.000 0.000
K 3.108 2.964 6.563
K 5.227 2.964 9.844
K 5.227 2.964 3.281
K 1.265 0.000 9.844
K 1.265 0.000 3.282
Zn 4.437 2.964 0.000
Zn 2.055 0.000 6.563
Ag 2.137 2.964 11.691
Ag 2.137 2.964 1.434
Ag 0.121 1.433 0.000
Ag 0.121 4.495 0.000
Ag 6.371 4.397 6.563
Ag 6.371 1.531 6.563
Ag 4.355 0.000 5.129
Ag 4.355 0.000 7.997
CELL_PARAMETERS angstrom
6.492 0.000 0.000
0.000 5.928 0.000
0.000 0.000 13.126

Record 13
! KZn2Ag PBE optimized geometry; values from VASP
! **Polymorph energy (0 for the lowest one)**: 223 meV per atom
! **Mass density**: 4937 kg/m³
&SYSTEM
  ibrav = 0, nat = 4, ntyp = 3
/
ATOMIC_SPECIES
Ag 107.87 Ag.upf
K 39.10 K.upf
Zn 65.41 Zn.upf
ATOMIC_POSITIONS angstrom
Ag -3.274 -1.534 1.648
K -0.183 -1.862 2.505
Zn -2.244 -9.237 4.558
Zn -1.273 -5.240 2.586
CELL_PARAMETERS angstrom
-4.263 -4.498 1.524
1.919 -5.154 3.238
-1.112 6.255 -0.610

Record 14
! KZn2Ag PBE optimized geometry; values from VASP
! **Polymorph energy (0 for the lowest one)**: 259 meV per atom
! **Mass density**: 4953 kg/m³
&SYSTEM
  ibrav = 0, nat = 4, ntyp = 3
/
ATOMIC_SPECIES
Zn 65.41 Zn.upf
K 39.10 K.upf
Ag 107.87 Ag.upf
ATOMIC_POSITIONS angstrom
Zn 1.799 1.799 1.799
Zn 5.396 5.396 5.396
K 0.000 0.000 0.000
Ag 3.598 3.598 3.598
CELL_PARAMETERS angstrom
0.000 3.598 3.598
3.598 0.000 3.598
3.598 3.598 0.000

Record 15
! K2ZnAg PBE optimized geometry; values from VASP
! **VASP energy**: -0.058 hartree per atom
! **Mass density**: 2582 kg/m³
&SYSTEM
  ibrav = 0, nat = 4, ntyp = 3
/
ATOMIC_SPECIES
K 39.10 K.upf
Zn 65.41 Zn.upf
Ag 107.87 Ag.upf
ATOMIC_POSITIONS angstrom
K -1.630 -8.896 1.211
K -2.812 -4.237 0.512
Zn 1.864 -8.481 1.759
Ag 1.357 -9.699 -0.550
CELL_PARAMETERS angstrom
-3.049 -2.738 2.113
-2.283 -3.197 -2.407
4.610 -7.780 1.599

Record 16
! KZn2Ag PBE optimized geometry; values from VASP
! **Polymorph energy (0 for the lowest one)**: 139 meV per atom
! **Mass density**: 3956 kg/m³
&SYSTEM
  ibrav = 0, nat = 8, ntyp = 3
/
ATOMIC_SPECIES
Zn 65.41 Zn.upf
K 39.10 K.upf
Ag 107.87 Ag.upf
ATOMIC_POSITIONS angstrom
Zn -5.008 -1.430 2.194
Zn -6.516 -1.370 0.208
Zn -5.486 -6.227 0.846
Zn -7.439 -5.803 2.340
K -3.460 0.484 -0.491
K -5.669 -4.071 -2.084
Ag 0.000 0.000 0.000
Ag -6.112 -3.708 1.397
CELL_PARAMETERS angstrom
-3.903 0.847 2.991
-3.017 0.120 -3.972
-4.861 -8.746 0.294

Record 17
! K3Zn2Ag4 PBE optimized geometry; values from VASP
! **VASP energy**: -0.071 hartree per atom
! **Mass density**: 4344 kg/m³
&SYSTEM
  ibrav = 0, nat = 9, ntyp = 3
/
ATOMIC_SPECIES
K 39.10 K.upf
Zn 65.41 Zn.upf
Ag 107.87 Ag.upf
ATOMIC_POSITIONS angstrom
K -6.335 -0.054 0.411
K 0.000 0.000 0.000
K -3.416 -1.065 -2.145
Zn -3.260 -1.431 1.827
Zn -6.491 0.311 -3.561
Ag -1.973 -3.195 0.228
Ag -4.957 2.071 -2.112
Ag -4.794 -3.191 0.378
Ag -7.778 2.075 -1.962
CELL_PARAMETERS angstrom
-0.168 -3.520 -3.057
-2.504 -1.844 5.820
-7.079 4.244 -4.497

Record 18
! KZn2Ag PBE optimized geometry; values from VASP
! **Polymorph energy (0 for the lowest one)**: 324 meV per atom
! **Mass density**: 5315 kg/m³
&SYSTEM
  ibrav = 0, nat = 4, ntyp = 3
/
ATOMIC_SPECIES
Ag 107.87 Ag.upf
K 39.10 K.upf
Zn 65.41 Zn.upf
ATOMIC_POSITIONS angstrom
Ag -4.111 4.157 -4.913
K -12.333 12.471 -14.739
Zn -16.249 16.430 -19.419
Zn -8.417 8.511 -10.059
CELL_PARAMETERS angstrom
-5.036 7.049 -5.649
-4.439 4.962 -7.914
-6.968 4.617 -6.090

Record 19
! KZn2Ag PBE optimized geometry; values from VASP
! **Polymorph energy (0 for the lowest one)**: 161 meV per atom
! **Mass density**: 5058 kg/m³
&SYSTEM
  ibrav = 0, nat = 4, ntyp = 3
/
ATOMIC_SPECIES
Ag 107.87 Ag.upf
K 39.10 K.upf
Zn 65.41 Zn.upf
ATOMIC_POSITIONS angstrom
Ag 0.000 0.000 3.407
K 1.675 1.686 6.080
Zn 0.000 0.000 0.566
Zn 1.675 1.686 2.061
CELL_PARAMETERS angstrom
3.360 0.012 0.000
-0.011 3.360 0.000
0.000 0.000 8.076

Record 20
! K4ZrAg PBE optimized geometry; values from VASP
! **VASP energy**: -0.063 hartree per atom
! **Mass density**: 2235 kg/m³
&SYSTEM
  ibrav = 0, nat = 6, ntyp = 3
/
ATOMIC_SPECIES
K 39.10 K.upf
Zr 91.22 Zr.upf
Ag 107.87 Ag.upf
ATOMIC_POSITIONS angstrom
K -7.179 -5.775 -3.286
K -4.283 -7.763 -4.133
K -5.382 -5.133 -6.355
K -3.881 -4.302 -3.174
Zr -7.772 -8.615 -6.356
Ag 0.000 0.000 0.000
CELL_PARAMETERS angstrom
-0.800 -6.896 -1.912
-6.572 -2.935 -0.223
-2.990 -1.655 -6.338

Record 21
! KZr2Ag PBE optimized geometry; values from VASP
! **Polymorph energy (0 for the lowest one)**: 273 meV per atom
! **Mass density**: 5254 kg/m³
&SYSTEM
  ibrav = 0, nat = 4, ntyp = 3
/
ATOMIC_SPECIES
Ag 107.87 Ag.upf
K 39.10 K.upf
Zr 91.22 Zr.upf
ATOMIC_POSITIONS angstrom
Ag -2.828 -2.667 1.065
K -8.485 -8.001 3.196
Zr -10.892 -6.903 0.429
Zr -6.068 -5.377 1.909
CELL_PARAMETERS angstrom
-6.270 -2.439 1.052
-5.034 -4.507 -0.844
-0.010 -3.722 4.053

Record 22
! KZr2Ag PBE optimized geometry; values from VASP
! **Polymorph energy (0 for the lowest one)**: 533 meV per atom
! **Mass density**: 5531 kg/m³
&SYSTEM
  ibrav = 0, nat = 4, ntyp = 3
/
ATOMIC_SPECIES
Ag 107.87 Ag.upf
K 39.10 K.upf
Zr 91.22 Zr.upf
ATOMIC_POSITIONS angstrom
Ag 1.474 2.752 1.524
K 1.474 2.752 4.571
Zr 0.000 0.000 0.130
Zr 0.000 0.000 2.918
CELL_PARAMETERS angstrom
2.948 0.000 0.000
0.000 5.505 0.000
0.000 0.000 6.095

Record 23
! KZr2Ag PBE optimized geometry; values from VASP
! **Polymorph energy (0 for the lowest one)**: 572 meV per atom
! **Mass density**: 5348 kg/m³
&SYSTEM
  ibrav = 0, nat = 4, ntyp = 3
/
ATOMIC_SPECIES
Ag 107.87 Ag.upf
K 39.10 K.upf
Zr 91.22 Zr.upf
ATOMIC_POSITIONS angstrom
Ag 1.810 2.654 1.500
K 3.213 0.002 1.500
Zr 0.000 0.000 0.000
Zr 5.023 2.655 0.000
CELL_PARAMETERS angstrom
6.425 0.003 0.000
3.620 5.308 0.000
-5.023 -2.655 3.000

Record 24
! KZr2Ag PBE optimized geometry; values from VASP
! **Polymorph energy (0 for the lowest one)**: 687 meV per atom
! **Mass density**: 5331 kg/m³
&SYSTEM
  ibrav = 0, nat = 4, ntyp = 3
/
ATOMIC_SPECIES
Ag 107.87 Ag.upf
K 39.10 K.upf
Zr 91.22 Zr.upf
ATOMIC_POSITIONS angstrom
Ag -6.206 -1.661 -0.382
K -9.309 -2.492 -0.572
Zr 0.000 0.000 0.000
Zr -3.103 -0.831 -0.191
CELL_PARAMETERS angstrom
-4.825 0.982 1.835
-4.153 -0.372 -3.198
-3.434 -3.932 0.599

Record 25
! KZrAg PBE optimized geometry; values from VASP
! **Polymorph energy (0 for the lowest one)**: 1161 meV per atom
! **Mass density**: 4523 kg/m³
&SYSTEM
  ibrav = 0, nat = 3, ntyp = 3
/
ATOMIC_SPECIES
Ag 107.87 Ag.upf
K 39.10 K.upf
Zr 91.22 Zr.upf
ATOMIC_POSITIONS angstrom
Ag -3.762 -3.743 3.012
K -5.643 -5.615 4.518
Zr 0.000 0.000 0.000
CELL_PARAMETERS angstrom
-3.733 -0.231 3.291
-3.545 -3.466 -0.494
-0.246 -3.789 3.226

Record 26
! KZr2Ag PBE optimized geometry; values from VASP
! **Polymorph energy (0 for the lowest one)**: 323 meV per atom
! **Mass density**: 4656 kg/m³
&SYSTEM
  ibrav = 0, nat = 4, ntyp = 3
/
ATOMIC_SPECIES
Ag 107.87 Ag.upf
K 39.10 K.upf
Zr 91.22 Zr.upf
ATOMIC_POSITIONS angstrom
Ag -2.422 -5.801 -2.642
K -3.879 -8.801 -3.619
Zr -1.176 -7.527 -7.197
Zr -1.184 -2.749 -1.183
CELL_PARAMETERS angstrom
-1.499 -2.825 -4.501
0.848 -4.363 -3.275
-4.690 -4.606 3.200